# RbAgW2F

RbAgW2F after structural relaxation (PBE+U, the Alexandria database).

Cell lengths 6.424, 6.424, 4.772 Å; angles 90.00, 90.00, 90.00 degrees
Sites, in units of the cell vectors:
Rb  0.000  0.000  0.000
Ag  0.500  0.500  0.500
W  0.000  0.500  0.000
W  0.500  0.000  0.000
F  0.000  0.000  0.500

Summary:
calculated total energy: -2.47 eV/atom